[1]
TmTeClO4 PBE optimized geometry; symmetry = C2/m, No. 12; formation energy without anion corrections = -1.76 eV per atom
1.0
-4.5801 4.2220 -0.1537
-4.0387 -1.0880 4.6186
1.9411 4.5488 4.8411
Tm Te Cl O
2 2 2 8
direct
0.2216 0.2216 0.8850
0.7784 0.7784 0.1150
0.6374 0.6374 0.7206
0.3626 0.3626 0.2794
0.0166 0.0166 0.2250
0.9834 0.9834 0.7750
0.2632 0.2632 0.5407
0.7368 0.7368 0.4593
0.1183 0.4926 0.1341
0.5465 0.5465 0.2410
0.5074 0.8817 0.8659
0.4926 0.1183 0.1341
0.4535 0.4535 0.7590
0.8817 0.5074 0.8659

***

[2]
Tm3TeCl2O6 PBE optimized geometry; symmetry = C2/m, No. 12; formation energy without anion corrections = -2.30 eV per atom
1.0
-3.4415 -3.6646 -2.0498
5.0677 -3.7232 -1.8522
-3.3366 -1.5366 5.5605
Tm Te Cl O
3 1 2 6
direct
0.0000 0.5000 0.0000
0.5000 0.5000 0.5000
0.5000 0.0000 0.5000
0.5000 0.0000 0.0000
0.1591 0.7006 0.4012
0.8409 0.2994 0.5988
0.7076 0.3117 0.1275
0.2924 0.6883 0.8725
0.6711 0.8277 0.6553
0.3289 0.1723 0.3447
0.2924 0.1842 0.8725
0.7076 0.8158 0.1275

***

[3]
UTeCl2O6 PBE optimized geometry; symmetry = I4/mmm, No. 139; formation energy without anion corrections = -1.13 eV per atom
1.0
-5.4274 1.2808 1.3335
-0.3794 -4.8152 3.0858
-1.5792 0.3084 5.6172
U Te Cl O
1 1 2 6
direct
0.0000 0.0000 0.0000
0.5000 0.5000 0.0000
0.7499 0.2502 0.4999
0.2501 0.7498 0.5001
0.2686 0.2685 0.4628
0.7454 0.7455 0.9997
0.2547 0.7454 0.0000
0.7453 0.2546 0.0000
0.2546 0.2545 0.0003
0.7314 0.7315 0.5372

***

[4]
Y3TeCl2O6 PBE optimized geometry; symmetry = C2/m, No. 12; formation energy without anion corrections = -2.25 eV per atom
1.0
5.4435 0.0000 0.7391
0.0000 6.6452 0.0000
0.2418 -3.3226 5.8775
Y Te Cl O
3 1 2 6
direct
0.0000 0.5000 0.0000
0.5000 0.5000 0.5000
0.5000 0.0000 0.5000
0.5000 0.0000 0.0000
0.1525 0.7030 0.4060
0.8475 0.2970 0.5940
0.7051 0.3071 0.1247
0.2949 0.6929 0.8753
0.6706 0.8309 0.6619
0.3294 0.1691 0.3381
0.2949 0.1825 0.8753
0.7051 0.8175 0.1247

***

[5]
YTeClO4 PBE optimized geometry; symmetry = C2/m, No. 12; formation energy without anion corrections = -1.75 eV per atom
1.0
6.3107 0.0105 -0.0774
2.1003 5.9510 -0.0774
1.6260 1.1525 6.7089
Y Te Cl O
2 2 2 8
direct
0.2211 0.2211 0.8830
0.7789 0.7789 0.1170
0.6378 0.6378 0.7224
0.3622 0.3622 0.2776
0.0168 0.0168 0.2257
0.9832 0.9832 0.7743
0.2653 0.2653 0.5365
0.7347 0.7347 0.4635
0.1203 0.4911 0.1355
0.5440 0.5440 0.2394
0.5089 0.8797 0.8645
0.4911 0.1203 0.1355
0.4560 0.4560 0.7606
0.8797 0.5089 0.8645

***

[6]
Zn2TeCl2O3 PBE optimized geometry; symmetry = Pccn, No. 56; formation energy without anion corrections = -1.20 eV per atom
1.0
7.7542 0.0000 0.0000
0.0000 10.6587 0.0000
0.0000 0.0000 15.8896
Zn Te Cl O
16 8 16 24
direct
0.8963 0.2378 0.4764
0.6578 0.0066 0.3903
0.6037 0.7622 0.9764
0.8963 0.2622 0.0236
0.8422 0.9934 0.8903
0.3422 0.9934 0.6097
0.1037 0.7378 0.9764
0.6578 0.4934 0.1097
0.3963 0.2622 0.4764
0.8422 0.5066 0.6097
0.1578 0.4934 0.3903
0.1037 0.7622 0.5236
0.3963 0.2378 0.0236
0.6037 0.7378 0.5236
0.3422 0.5066 0.8903
0.1578 0.0066 0.1097
0.2936 0.9711 0.9026
0.7936 0.5289 0.9026
0.7064 0.4711 0.4026
0.2064 0.0289 0.4026
0.7064 0.0289 0.0974
0.2936 0.5289 0.5974
0.2064 0.4711 0.0974
0.7936 0.9711 0.5974
0.3341 0.0757 0.2106
0.4214 0.2018 0.6204
0.1659 0.9243 0.7106
0.4214 0.2982 0.8796
0.8341 0.4243 0.2106
0.6659 0.5757 0.7106
0.3341 0.4243 0.2894
0.0786 0.7982 0.1204
0.6659 0.9243 0.7894
0.1659 0.5757 0.7894
0.5786 0.7982 0.3796
0.0786 0.7018 0.3796
0.8341 0.0757 0.2894
0.9214 0.2982 0.6204
0.9214 0.2018 0.8796
0.5786 0.7018 0.1204
0.1972 0.5591 0.9909
0.9358 0.4105 0.4162
0.1406 0.3114 0.0554
0.3028 0.4409 0.4909
0.8594 0.6886 0.9446
0.8594 0.8114 0.5554
0.5642 0.5895 0.9162
0.8028 0.0591 0.4909
0.1406 0.1886 0.4446
0.3594 0.8114 0.9446
0.0642 0.9105 0.9162
0.9358 0.0895 0.0838
0.6972 0.5591 0.5091
0.3594 0.6886 0.5554
0.0642 0.5895 0.5838
0.3028 0.0591 0.0091
0.6406 0.3114 0.4446
0.6406 0.1886 0.0554
0.8028 0.4409 0.0091
0.6972 0.9409 0.9909
0.1972 0.9409 0.5091
0.4358 0.0895 0.4162
0.5642 0.9105 0.5838
0.4358 0.4105 0.0838